No. 1
# TbNd3Sc4

A geometry-optimized TbNd3Sc4 structure (GGA-PBE, Alexandria via LeMat-Bulk).

Properties
space group: Pmn2_1
total magnetic moment: 0.003 Bohr magnetons per cell
VASP energy: -87.6 eV/cell

Cell lengths 5.9355, 7.2759, 10.8858 Å; angles 90.00, 90.00, 90.00 degrees
Last column: nearest neighbours and their distance in Å.
Atoms (fractional coordinates):
Nd  0.6334  0.6416  0.0000  5 Sc 3.37-3.56, 4 Nd 3.48-3.50, 2 Tb 3.60-3.64
Sc  0.6467  0.1055  0.5000  6 Sc 3.25-3.39, 1 Tb 3.36, 4 Nd 3.42-3.56
Nd  0.4970  0.3594  0.2491  5 Sc 3.38-3.57, 2 Tb 3.48-3.51, 4 Nd 3.48-3.60
Nd  0.9970  0.6406  0.7491  5 Sc 3.38-3.57, 2 Tb 3.48-3.51, 4 Nd 3.48-3.60
Nd  0.9970  0.6406  0.2509  5 Sc 3.38-3.57, 2 Tb 3.48-3.51, 4 Nd 3.48-3.60
Sc  0.1457  0.8959  0.5000  6 Sc 3.28-3.36, 3 Nd 3.37-3.40, 2 Tb 3.41-3.57
Tb  0.1300  0.3567  0.0000  5 Sc 3.36-3.57, 6 Nd 3.48-3.64
Tb  0.6300  0.6433  0.5000  5 Sc 3.36-3.57, 6 Nd 3.48-3.64
Nd  0.4970  0.3594  0.7509  5 Sc 3.38-3.57, 2 Tb 3.48-3.51, 4 Nd 3.48-3.60
Sc  0.4828  0.8953  0.7483  6 Sc 3.25-3.39, 4 Nd 3.38-3.57, 1 Tb 3.38
Sc  0.1467  0.8945  0.0000  6 Sc 3.25-3.39, 1 Tb 3.36, 4 Nd 3.42-3.56
Sc  0.6457  0.1041  0.0000  6 Sc 3.28-3.36, 3 Nd 3.37-3.40, 2 Tb 3.41-3.57
Sc  0.9828  0.1047  0.2483  6 Sc 3.25-3.39, 4 Nd 3.38-3.57, 1 Tb 3.38
Sc  0.9828  0.1047  0.7517  6 Sc 3.25-3.39, 4 Nd 3.38-3.57, 1 Tb 3.38
Sc  0.4828  0.8953  0.2517  6 Sc 3.25-3.39, 4 Nd 3.38-3.57, 1 Tb 3.38
Nd  0.1334  0.3584  0.5000  5 Sc 3.37-3.56, 4 Nd 3.48-3.50, 2 Tb 3.60-3.64

No. 2
# Cd2AgBr

A geometry-optimized Cd2AgBr structure (GGA-PBE, Alexandria via LeMat-Bulk).

Properties
ΔE_f (raw): -0.08 eV/atom
space group: P2/m
total magnetic moment: 0.000 Bohr magnetons per cell
distance to the lowest polymorph of the same formula: 7.8 kJ/mol of atoms

Cell lengths 3.5430, 5.3959, 5.9032 Å; angles 67.77, 90.00, 90.00 degrees
Last column: nearest neighbours and their distance in Å.
Atoms (fractional coordinates):
Ag  0.5000  0.2500  0.2500  4 Cd 2.87, 2 Br 3.16
Br  0.5000  0.7500  0.7500  4 Cd 3.02, 2 Ag 3.16
Cd  0.0000  0.4955  0.4852  2 Ag 2.87, 2 Br 3.02, 1 Cd 3.08
Cd  0.0000  0.0045  0.0148  2 Ag 2.87, 2 Br 3.02, 1 Cd 3.08

No. 3
# PmZnNi4Sn2

A geometry-optimized PmZnNi4Sn2 structure (GGA-PBE, Alexandria via LeMat-Bulk).

Properties
space group: R-3m
total magnetic moment: 0.000 Bohr magnetons per cell
VASP energy: -39.8 eV/cell

Cell lengths 4.2797, 4.2797, 8.7763 Å; angles 75.89, 75.89, 60.00 degrees
Last column: nearest neighbours and their distance in Å.
Atoms (fractional coordinates):
Ni  0.4040  0.4040  0.7879  1 Zn 2.42, 3 Sn 2.52
Ni  0.8649  0.8649  0.4052  3 Zn 2.60, 4 Sn 2.70-2.71
Zn  0.5000  0.5000  0.5000  8 Ni 2.42-2.60
Pm  0.0000  0.0000  0.0000  8 Ni 3.05-3.41, 6 Sn 3.38
Sn  0.7579  0.7579  0.7263  7 Ni 2.52-2.71
Sn  0.2421  0.2421  0.2737  7 Ni 2.52-2.71
Ni  0.1351  0.1351  0.5948  3 Zn 2.60, 4 Sn 2.70-2.71
Ni  0.5960  0.5960  0.2121  1 Zn 2.42, 3 Sn 2.52

No. 4
# Pr4Y3Te8

A geometry-optimized Pr4Y3Te8 structure (GGA-PBE, Alexandria via LeMat-Bulk).

Properties
ΔE_f (raw): -1.23 eV/atom
space group: R-3m
total magnetic moment: 0.000 Bohr magnetons per cell
distance to the lowest polymorph of the same formula: 19.0 kJ/mol of atoms

Cell lengths 8.7968, 8.7968, 9.6556 Å; angles 62.90, 62.90, 60.00 degrees
Last column: nearest neighbours and their distance in Å.
Atoms (fractional coordinates):
Pr  0.3572  0.3572  0.9283  4 Te 3.07-3.08
Te  0.7510  0.7510  0.2657  3 Pr 3.08-3.28, 2 Y 3.15
Te  0.2490  0.2490  0.7343  3 Pr 3.08-3.28, 2 Y 3.15
Te  0.7510  0.2323  0.2657  3 Pr 3.08-3.28, 2 Y 3.15
Y  0.0000  0.5000  0.5000  6 Te 3.01-3.15
Y  0.5000  0.0000  0.5000  6 Te 3.01-3.15
Y  0.0000  0.0000  0.5000  6 Te 3.01-3.15
Te  0.2490  0.7677  0.7343  3 Pr 3.08-3.28, 2 Y 3.15
Te  0.7677  0.2490  0.7343  3 Pr 3.08-3.28, 2 Y 3.15
Pr  0.0000  0.0000  0.0000  6 Te 3.28
Te  0.7675  0.7675  0.6976  3 Y 3.01, 1 Pr 3.07
Te  0.2325  0.2325  0.3024  3 Y 3.01, 1 Pr 3.07
Pr  0.5000  0.5000  0.5000  6 Te 3.26, 2 Pr 3.52
Te  0.2323  0.7510  0.2657  3 Pr 3.08-3.28, 2 Y 3.15
Pr  0.6428  0.6428  0.0717  4 Te 3.07-3.08

No. 5
# LiLa2DyTl4

A geometry-optimized LiLa2DyTl4 structure (GGA-PBE, Alexandria via LeMat-Bulk).

Properties
space group: R-3m
total magnetic moment: 0.000 Bohr magnetons per cell
VASP energy: -28.8 eV/cell

Cell lengths 5.3904, 5.3904, 9.6234 Å; angles 73.74, 73.74, 60.00 degrees
Last column: nearest neighbours and their distance in Å.
Atoms (fractional coordinates):
Tl  0.3751  0.3751  0.8746  3 Dy 3.32, 4 La 3.37-3.57, 1 Li 3.41
Tl  0.8743  0.8743  0.3771  4 La 3.24-3.27, 3 Li 3.31, 1 Dy 3.43
La  0.2445  0.2445  0.2666  8 Tl 3.24-3.57
Dy  0.0000  0.0000  0.0000  8 Tl 3.32-3.43
Li  0.5000  0.5000  0.5000  8 Tl 3.31-3.41
Tl  0.6249  0.6249  0.1254  3 Dy 3.32, 4 La 3.37-3.57, 1 Li 3.41
La  0.7555  0.7555  0.7334  8 Tl 3.24-3.57
Tl  0.1257  0.1257  0.6229  4 La 3.24-3.27, 3 Li 3.31, 1 Dy 3.43

No. 6
# LiGePd3

A geometry-optimized LiGePd3 structure (GGA-PBE, Alexandria via LeMat-Bulk).

Properties
space group: Pm-3m
total magnetic moment: 0.000 Bohr magnetons per cell
distance to the lowest polymorph of the same formula: 50.0 kJ/mol of atoms

Cell lengths 4.6670, 4.6670, 4.6670 Å; angles 90.00, 90.00, 90.00 degrees
Last column: nearest neighbours and their distance in Å.
Atoms (fractional coordinates):
Pd  0.0000  0.0000  0.5000  2 Ge 2.33
Ge  0.0000  0.0000  0.0000  6 Pd 2.33
Pd  0.5000  0.0000  0.0000  2 Ge 2.33
Li  0.5000  0.5000  0.5000  12 Pd 3.30
Pd  0.0000  0.5000  0.0000  2 Ge 2.33

No. 7
# MgZrTc2

A geometry-optimized MgZrTc2 structure (GGA-PBE, Alexandria via LeMat-Bulk).

Properties
space group: I-42d
total magnetic moment: 0.000 Bohr magnetons per cell
VASP energy: -56.4 eV/cell

Cell lengths 7.2565, 7.2565, 5.8230 Å; angles 51.46, 51.46, 90.00 degrees
Last column: nearest neighbours and their distance in Å.
Atoms (fractional coordinates):
Zr  0.0000  0.0000  0.0000  4 Tc 2.68, 2 Mg 2.75
Zr  0.7500  0.2500  0.5000  4 Tc 2.68, 2 Mg 2.75
Tc  0.6199  0.1250  0.2500  2 Mg 2.63, 2 Zr 2.68, 2 Tc 2.75
Tc  0.8750  0.8699  0.7500  2 Mg 2.63, 2 Zr 2.68, 2 Tc 2.75
Mg  0.5000  0.5000  0.0000  4 Tc 2.63, 2 Zr 2.75
Mg  0.2500  0.7500  0.5000  4 Tc 2.63, 2 Zr 2.75
Tc  0.1301  0.6250  0.2500  2 Mg 2.63, 2 Zr 2.68, 2 Tc 2.75
Tc  0.3750  0.3801  0.7500  2 Mg 2.63, 2 Zr 2.68, 2 Tc 2.75

No. 8
# LiDyZnPd

A geometry-optimized LiDyZnPd structure (GGA-PBE, Alexandria via LeMat-Bulk).

Properties
space group: F-43m
total magnetic moment: 0.131 Bohr magnetons per cell
VASP energy: -14.8 eV/cell

Cell lengths 4.6829, 4.6829, 4.6829 Å; angles 60.00, 60.00, 60.00 degrees
Last column: nearest neighbours and their distance in Å.
Atoms (fractional coordinates):
Li  0.0000  0.0000  0.0000  4 Zn 2.87, 4 Dy 2.87
Dy  0.7500  0.7500  0.7500  4 Li 2.87, 4 Pd 2.87
Pd  0.5000  0.5000  0.5000  4 Dy 2.87, 4 Zn 2.87
Zn  0.2500  0.2500  0.2500  4 Pd 2.87, 4 Li 2.87

No. 9
# Na4LiPu3O12

A geometry-optimized Na4LiPu3O12 structure (GGA-PBE, Alexandria via LeMat-Bulk).

Properties
ΔE_f (raw): -2.25 eV/atom
space group: Im-3m
total magnetic moment: 5.000 Bohr magnetons per cell

Cell lengths 7.2589, 7.2589, 7.2589 Å; angles 109.47, 109.47, 109.47 degrees
Last column: nearest neighbours and their distance in Å.
Atoms (fractional coordinates):
Na  0.5000  0.5000  0.5000  12 O 2.96-2.97
Na  0.0000  0.0000  0.5000  12 O 2.96-2.97
O  0.2730  0.0000  0.2730  1 Pu 1.90
Pu  0.5000  0.0000  0.5000  6 O 1.90-2.10
Na  0.0000  0.5000  0.0000  12 O 2.96-2.97
Na  0.5000  0.0000  0.0000  12 O 2.96-2.97
Li  0.0000  0.0000  0.0000  6 O 2.29
Pu  0.0000  0.5000  0.5000  6 O 1.90-2.10
O  0.0000  0.7270  0.7270  1 Pu 1.90
Pu  0.5000  0.5000  0.0000  6 O 1.90-2.10
O  0.2500  0.5000  0.7500  2 Pu 2.10
O  0.0000  0.2730  0.2730  1 Pu 1.90
O  0.7270  0.7270  0.0000  1 Pu 1.90
O  0.7270  0.0000  0.7270  1 Pu 1.90
O  0.5000  0.2500  0.7500  2 Pu 2.10
O  0.7500  0.5000  0.2500  2 Pu 2.10
O  0.7500  0.2500  0.5000  2 Pu 2.10
O  0.2730  0.2730  0.0000  1 Pu 1.90
O  0.5000  0.7500  0.2500  2 Pu 2.10
O  0.2500  0.7500  0.5000  2 Pu 2.10

No. 10
# MoPdRu2

A geometry-optimized MoPdRu2 structure (GGA-PBE, Alexandria via LeMat-Bulk).

Properties
space group: Fm-3m
total magnetic moment: 0.000 Bohr magnetons per cell
distance to the lowest polymorph of the same formula: 21.1 kJ/mol of atoms

Cell lengths 4.3812, 4.3812, 4.3812 Å; angles 60.00, 60.00, 60.00 degrees
Last column: nearest neighbours and their distance in Å.
Atoms (fractional coordinates):
Pd  0.5000  0.5000  0.5000  8 Ru 2.68
Ru  0.2500  0.2500  0.2500  4 Pd 2.68, 4 Mo 2.68
Ru  0.7500  0.7500  0.7500  4 Mo 2.68, 4 Pd 2.68
Mo  0.0000  0.0000  0.0000  8 Ru 2.68

No. 11
# PuPtPbAu

A geometry-optimized PuPtPbAu structure (GGA-PBE, Alexandria via LeMat-Bulk).

Properties
space group: F-43m
total magnetic moment: 5.339 Bohr magnetons per cell
VASP energy: -28.9 eV/cell

Cell lengths 5.0197, 5.0197, 5.0197 Å; angles 60.00, 60.00, 60.00 degrees
Last column: nearest neighbours and their distance in Å.
Atoms (fractional coordinates):
Pt  0.7500  0.7500  0.7500  4 Pu 3.07, 4 Pb 3.07
Au  0.2500  0.2500  0.2500  4 Pb 3.07, 4 Pu 3.07
Pb  0.5000  0.5000  0.5000  4 Au 3.07, 4 Pt 3.07
Pu  0.0000  0.0000  0.0000  4 Pt 3.07, 4 Au 3.07

No. 12
# KNd2GeO5

A geometry-optimized KNd2GeO5 structure (GGA-PBE, Alexandria via LeMat-Bulk).

Properties
ΔE_f (raw): -2.36 eV/atom
space group: I4/mcm
total magnetic moment: 1.633 Bohr magnetons per cell

Cell lengths 6.8812, 6.8812, 7.6137 Å; angles 116.87, 116.87, 90.00 degrees
Last column: nearest neighbours and their distance in Å.
Atoms (fractional coordinates):
O  0.7352  0.2352  0.7429  1 Ge 1.94
O  0.5000  0.5000  0.0000  4 Nd 2.53
O  0.0077  0.5077  0.7429  1 Ge 1.94
K  0.2500  0.2500  0.5000  10 O 2.93-3.03
O  0.9923  0.4923  0.2571  1 Ge 1.94
Ge  0.7500  0.2500  0.5000  4 O 1.94
O  0.7648  0.9923  0.2571  1 Ge 1.94
Nd  0.6786  0.1786  0.0000  4 O 2.35-2.53
Nd  0.8214  0.6786  0.0000  4 O 2.35-2.53
K  0.7500  0.7500  0.5000  10 O 2.93-3.03
O  0.0000  0.0000  0.0000  4 Nd 2.53
O  0.2648  0.7648  0.2571  1 Ge 1.94
O  0.2352  0.0077  0.7429  1 Ge 1.94
Nd  0.1786  0.3214  0.0000  4 O 2.35-2.53
Nd  0.3214  0.8214  0.0000  4 O 2.35-2.53
O  0.5077  0.7352  0.7429  1 Ge 1.94
O  0.4923  0.2648  0.2571  1 Ge 1.94
Ge  0.2500  0.7500  0.5000  4 O 1.94

no.,mass density (g/cm3)
1,5.45
2,6.56
3,8.49
4,5.59
5,9.17
6,6.52
7,7.14
8,7.80
9,5.77
10,11.30
11,15.66
12,5.75